Below is a geometry-optimized CsSr4Hg5 structure, with properties calculated at the GGA-PBE level.

Cell: 4.0604 4.0604 21.0055 Å, 90.00 90.00 90.00°
Space group P4/mmm (No. 123)
Asymmetric unit:
Cs  0.0000  0.0000  0.0000 (multiplicity 1)
Sr  0.0000  0.0000  0.2173 (multiplicity 2)
Sr  0.0000  0.0000  0.4062 (multiplicity 2)
Hg  0.5000  0.5000  0.1287 (multiplicity 2)
Hg  0.5000  0.5000  0.3115 (multiplicity 2)
Hg  0.5000  0.5000  0.5000 (multiplicity 1)

Calculated values
Crystal system: tetragonal
Size of the total moment, μB per formula unit: 0.0
VASP energy, Ha/atom: -0.0496